## USnB2O8 (GGA-PBE)

Data for a relaxed structure of USnB2O8.

Lattice parameters (Å, degrees): 7.6945 5.2206 6.8240 90.00 91.35 90.00
Space group C2/m (No. 12)
Inequivalent atoms, fractional coordinates:
U 0.0000 0.0000 0.0000
Sn 0.0000 0.0000 0.5000
B 0.1510 0.5000 0.2683
O 0.0400 0.2616 0.2503
O 0.2448 0.0000 0.9207
O 0.2474 0.5000 0.4440

Calculated values
The total DFT energy (no corrections) is -7.958 eV per atom.

## BaLi2Ag (GGA-PBE)

Data for a relaxed structure of BaLi2Ag.

Lattice parameters (Å, degrees): 8.3589 4.5960 6.4627 90.00 111.50 90.00
Space group C2/m (No. 12)
Inequivalent atoms, fractional coordinates:
Ba 0.0000 0.0000 0.0000
Li 0.1942 0.0000 0.5852
Ag 0.0000 0.5000 0.5000

Calculated values
As for the density of states at the Fermi level: 2.93 states/eV/f.u. Its formation energy is -0.087 eV/atom.

## ZrTe3Ir (GGA-PBE)

Data for a relaxed structure of ZrTe3Ir.

Lattice parameters (Å, degrees): 5.5134 5.5134 5.5134 90.00 90.00 90.00
Space group Pm-3m (No. 221)
Inequivalent atoms, fractional coordinates:
Zr 0.0000 0.0000 0.0000
Te 0.0000 0.0000 0.5000
Ir 0.5000 0.5000 0.5000

Calculated values
As for the density of states at the Fermi level: 6.61 states/eV/f.u. The total DFT energy (no corrections) is -4.429 eV per atom.

## UAg2IO6 (GGA-PBE)

Data for a relaxed structure of UAg2IO6.

Lattice parameters (Å, degrees): 5.9219 5.9219 4.3846 90.00 90.00 90.00
Space group P4mm (No. 99)
Inequivalent atoms, fractional coordinates:
U 0.0000 0.0000 0.0000
Ag 0.0000 0.5000 0.5673
I 0.5000 0.5000 0.0000
O 0.0000 0.0000 0.4970
O 0.2543 0.2543 0.9843
O 0.5000 0.5000 0.5819

Calculated values
As for the density of states at the Fermi level: 2.43 states/eV/f.u. The total DFT energy (no corrections) is -5.977 eV per atom.

## Ca2Mg3Zn (GGA-PBE)

Data for a relaxed structure of Ca2Mg3Zn.

Lattice parameters (Å, degrees): 6.5934 15.6208 6.4946 90.00 90.00 90.00
Space group Cmcm (No. 63)
Inequivalent atoms, fractional coordinates:
Ca 0.2459 0.0000 0.0000
Mg 0.0000 0.3456 0.2500
Mg 0.2372 0.3091 0.7500
Zn 0.0000 0.1477 0.7500

Calculated values
As for the density of states at the Fermi level: 3.40 states/eV/f.u. Its formation energy is 0.141 eV/atom.

## Na2SrSn2 (GGA-PBE)

Data for a relaxed structure of Na2SrSn2.

Lattice parameters (Å, degrees): 4.6916 4.9720 28.7262 90.00 90.00 90.00
Space group Imma (No. 74)
Inequivalent atoms, fractional coordinates:
Na 0.0000 0.2500 0.1947
Na 0.0000 0.2500 0.6997
Sr 0.0000 0.2500 0.4262
Sn 0.0000 0.2500 0.8757
Sn 0.0000 0.2500 0.9734

Calculated values
As for the density of states at the Fermi level: 2.32 states/eV/f.u. Its formation energy is -0.288 eV/atom.

## SnN (GGA-PBE)

Data for a relaxed structure of SnN.

Lattice parameters (Å, degrees): 3.1239 22.2803 3.1339 90.00 90.00 90.00
Space group Cmmm (No. 65)
Inequivalent atoms, fractional coordinates:
Sn 0.0000 0.1887 0.0000
N 0.0000 0.4750 0.5000

Calculated values
As for the density of states at the Fermi level: 0.48 states/eV/f.u. The total DFT energy (no corrections) is -6.040 eV per atom.

## TbTm2Co2 (GGA-PBE)

Data for a relaxed structure of TbTm2Co2.

Lattice parameters (Å, degrees): 7.1271 7.1271 4.1374 90.00 90.00 90.00
Space group P4/mbm (No. 127)
Inequivalent atoms, fractional coordinates:
Tb 0.0000 0.0000 0.0000
Tm 0.1711 0.3289 0.5000
Co 0.1116 0.6116 0.0000

Calculated values
As for the density of states at the Fermi level: 2.85 states/eV/f.u. Its formation energy is -0.179 eV/atom.

- Number 7 is which compound?
  SnN